Model a:
Crystalline KLi2Br at its relaxed geometry. Source: Alexandria via LeMat-Bulk, functional PBEsol.

Cell lengths 4.1246, 7.0830, 7.0830 Å; angles 33.27, 90.00, 90.00 degrees
Element x y z (fractional)
K (0.0000, 0.0000, 0.0000)
Li (0.0000, 0.2544, 0.2544)
Li (0.5000, 0.7176, 0.7176)
Br (0.5000, 0.3672, 0.3672)

***

Model b:
Crystalline KLi2Br at its relaxed geometry. Source: Alexandria via LeMat-Bulk, functional PBEsol.

Cell lengths 4.3497, 6.1763, 4.5789 Å; angles 90.00, 90.38, 90.00 degrees
Element x y z (fractional)
K (0.0000, 0.0000, 0.0000)
Li (0.2753, 0.5000, 0.7297)
Li (0.7247, 0.5000, 0.2703)
Br (0.5000, 0.0000, 0.5000)

***

Which structure is the most stable? The one labeled model a.

***

Model a:
Crystalline K2LiBr at its relaxed geometry. Source: Alexandria via LeMat-Bulk, functional PBEsol.

Cell lengths 7.3652, 7.3652, 7.3652 Å; angles 145.68, 114.20, 76.36 degrees
Element x y z (fractional)
K (0.1922, 0.1922, 0.0000)
K (0.8078, 0.8078, 0.0000)
Li (0.5000, 0.0000, 0.5000)
Br (0.0000, 0.5000, 0.5000)

***

Model b:
Crystalline K2LiBr at its relaxed geometry. Source: Alexandria via LeMat-Bulk, functional PBEsol.

Cell lengths 10.3669, 10.3669, 10.3669 Å; angles 157.66, 156.22, 32.86 degrees
Element x y z (fractional)
K (0.0000, 0.0000, 0.0000)
K (0.7019, 0.2019, 0.5000)
Li (0.3688, 0.3688, 0.0000)
Br (0.1299, 0.6299, 0.5000)

***

Which structure is the most stable? The one labeled model b.

***

Model a:
Crystalline K2MgBr at its relaxed geometry. Source: Alexandria via LeMat-Bulk, functional PBEsol.

Cell lengths 4.2302, 5.9348, 5.9440 Å; angles 90.00, 90.06, 90.00 degrees
Element x y z (fractional)
K (0.0000, 0.0000, 0.0000)
K (0.0017, 0.5000, 0.5062)
Mg (0.5015, 0.5000, 0.0071)
Br (0.4999, 0.0000, 0.5138)

***

Model b:
Crystalline K2MgBr at its relaxed geometry. Source: Alexandria via LeMat-Bulk, functional PBEsol.

Cell lengths 4.2313, 4.2313, 10.6045 Å; angles 101.70, 101.70, 60.46 degrees
Element x y z (fractional)
K (0.2341, 0.2341, 0.2021)
K (0.7659, 0.7659, 0.7979)
Mg (0.0000, 0.0000, 0.5000)
Br (0.5000, 0.5000, 0.0000)

***

Which structure is the most stable? The one labeled model b.